VASP calculation (PBE+U) on a relaxed K3MnF7 crystal.

a = 7.934 Å, b = 7.934 Å, c = 5.723 Å
α = 90.00°, β = 90.00°, γ = 90.00°
Fractional coordinates of all 22 atoms:
1 K 0.000 0.000 0.000
2 K 0.191 0.309 0.500
3 K 0.309 0.809 0.500
4 K 0.500 0.500 0.000
5 K 0.691 0.191 0.500
6 K 0.809 0.691 0.500
7 Mn 0.000 0.500 0.000
8 Mn 0.500 0.000 0.000
9 F 0.000 0.000 0.500
10 F 0.114 0.614 0.232
11 F 0.114 0.614 0.768
12 F 0.164 0.336 0.000
13 F 0.336 0.836 0.000
14 F 0.386 0.114 0.232
15 F 0.386 0.114 0.768
16 F 0.500 0.500 0.500
17 F 0.614 0.886 0.232
18 F 0.614 0.886 0.768
19 F 0.664 0.164 0.000
20 F 0.836 0.664 0.000
21 F 0.886 0.386 0.232
22 F 0.886 0.386 0.768

Summary:
- VASP energy: -105.353 eV/cell
- D(E_F): 0.000 states/eV per atom
- Symmetry: P4/mbm, No. 127
- Total moment: 3.11 μB per formula unit